[1]
# Tc2AsOs (GGA-PBE, relaxed)
data_Tc2AsOs
_chemical_formula_sum 'Tc2 As1 Os1'
_space_group_name_H-M_alt 'P 4 m m'
_space_group_IT_number 99
_space_group_name_Hall 'P 4 -2'
_cell_length_a 2.945
_cell_length_b 2.945
_cell_length_c 6.668
_cell_angle_alpha 90.00
_cell_angle_beta 90.00
_cell_angle_gamma 90.00
loop_
_atom_site_label
_atom_site_fract_x
_atom_site_fract_y
_atom_site_fract_z
Tc1 0.000 0.000 0.000
Tc2 0.500 0.500 0.267
As1 0.000 0.000 0.494
Os1 0.500 0.500 0.734
# **Theoretical density**: 13.237 g/cm3
# **ΔE_f**: 0.115 eV per atom

=====

[2]
# BeFe (GGA-PBE, relaxed)
data_BeFe
_chemical_formula_sum 'Be4 Fe4'
_space_group_name_H-M_alt 'F -4 3 m'
_space_group_IT_number 216
_space_group_name_Hall 'F -4 2 3'
_cell_length_a 4.799
_cell_length_b 4.799
_cell_length_c 4.799
_cell_angle_alpha 90.00
_cell_angle_beta 90.00
_cell_angle_gamma 90.00
loop_
_atom_site_label
_atom_site_fract_x
_atom_site_fract_y
_atom_site_fract_z
Be1 0.000 0.000 0.000
Fe1 0.250 0.250 0.750
# **Theoretical density**: 3.898 g/cm3
# **ΔE_f**: 1.399 eV per atom

=====

[3]
# FeMo2 (GGA-PBE, relaxed)
data_FeMo2
_chemical_formula_sum 'Fe4 Mo8'
_space_group_name_H-M_alt 'I 4/m c m'
_space_group_IT_number 140
_space_group_name_Hall '-I 4 2c'
_cell_length_a 5.928
_cell_length_b 5.928
_cell_length_c 4.851
_cell_angle_alpha 90.00
_cell_angle_beta 90.00
_cell_angle_gamma 90.00
loop_
_atom_site_label
_atom_site_fract_x
_atom_site_fract_y
_atom_site_fract_z
Fe1 0.000 0.000 0.250
Mo1 0.158 0.342 0.000
# **Theoretical density**: 9.653 g/cm3
# **ΔE_f**: 0.066 eV per atom

=====

[4]
# MnGaMoP (GGA-PBE, relaxed)
data_MnGaMoP
_chemical_formula_sum 'Mn2 Ga2 Mo2 P2'
_space_group_name_H-M_alt 'C 1 m 1'
_space_group_IT_number 8
_space_group_name_Hall 'C -2y'
_cell_length_a 8.657
_cell_length_b 3.153
_cell_length_c 4.859
_cell_angle_alpha 90.00
_cell_angle_beta 120.29
_cell_angle_gamma 90.00
loop_
_atom_site_label
_atom_site_fract_x
_atom_site_fract_y
_atom_site_fract_z
Mn1 0.000 0.000 0.000
Ga1 0.222 0.000 0.815
Mo1 0.431 0.000 0.438
P1 0.202 0.500 0.373
# **Theoretical density**: 7.295 g/cm3
# **ΔE_f**: -0.215 eV per atom
# **Energy above the most stable polymorph in this dataset**: 48.0 meV/atom